# 1
A plane-wave DFT calculation with SCAN was carried out for KBeH3 at its PBEsol-relaxed geometry.

Structure (extended XYZ):
```
20
Lattice="6.380 0.000 0.000 0.000 5.231 0.000 -2.394 0.000 8.868" Properties=species:S:1:pos:R:3 pbc="T T T"
K 1.000 1.295 1.873
K -0.198 1.321 6.307
K 4.183 3.910 2.561
K 2.986 3.936 6.995
Be 1.428 3.896 0.061
Be 0.231 3.950 4.495
Be 3.755 1.281 4.373
Be 2.558 1.335 8.807
H -1.187 2.672 8.278
H 0.010 5.174 3.844
H 0.020 2.730 3.833
H -1.177 5.116 8.267
H 1.828 3.900 1.413
H 0.631 3.946 5.847
H 3.355 1.285 3.021
H 2.158 1.331 7.456
H 5.163 0.115 0.601
H 3.966 2.501 5.035
H 3.976 0.057 5.024
H 5.173 2.559 0.590
```

Results
The calculated volume comes out at 14.8 Å³/atom. The symmetry is P2_1/c. The total moment comes out at 0.00 μB/cell. Its uncorrected energy is -4.790 eV/atom. As for the density of states at the Fermi level: 0.00 states/eV/f.u.


# 2
A plane-wave DFT calculation with SCAN was carried out for KBeH2 at its PBEsol-relaxed geometry.

Structure (extended XYZ):
```
16
Lattice="4.673 0.000 0.000 0.000 4.673 0.000 0.000 0.000 9.404" Properties=species:S:1:pos:R:3 pbc="T T T"
K 0.000 1.168 3.527
K 0.000 3.505 5.878
K 2.337 1.168 1.176
K 2.337 3.505 8.229
Be 0.000 1.168 8.229
Be 0.000 3.505 1.176
Be 2.337 1.168 5.878
Be 2.337 3.505 3.527
H 0.000 0.000 0.000
H 0.000 2.337 0.000
H 1.168 1.168 7.053
H 1.168 3.505 2.351
H 2.337 0.000 4.702
H 2.337 2.337 4.702
H 3.505 1.168 7.053
H 3.505 3.505 2.351
```

Results
The calculated volume comes out at 12.8 Å³/atom. The symmetry is I4_1/amd. The total moment comes out at 0.00 μB/cell. Its uncorrected energy is -4.675 eV/atom. As for the density of states at the Fermi level: 1.33 states/eV/f.u.


# 3
A plane-wave DFT calculation with SCAN was carried out for KBe2H at its PBEsol-relaxed geometry.

Structure (extended XYZ):
```
16
Lattice="6.670 0.000 0.000 0.000 6.670 0.000 0.000 0.000 6.670" Properties=species:S:1:pos:R:3 pbc="T T T"
K 0.000 0.000 0.000
K 0.000 3.335 3.335
K 3.335 0.000 3.335
K 3.335 3.335 0.000
Be 1.667 1.667 1.667
Be 1.667 1.667 5.002
Be 1.667 5.002 1.667
Be 1.667 5.002 5.002
Be 5.002 1.667 1.667
Be 5.002 1.667 5.002
Be 5.002 5.002 1.667
Be 5.002 5.002 5.002
H 0.000 0.000 3.335
H 0.000 3.335 0.000
H 3.335 0.000 0.000
H 3.335 3.335 3.335
```

Results
The calculated volume comes out at 18.5 Å³/atom. The symmetry is Fm-3m. The total moment comes out at 0.00 μB/cell. Its uncorrected energy is -3.397 eV/atom. As for the density of states at the Fermi level: 1.26 states/eV/f.u.


# 4
A plane-wave DFT calculation with SCAN was carried out for KBe2TlH at its PBEsol-relaxed geometry.

Structure (extended XYZ):
```
5
Lattice="5.539 0.000 0.000 0.000 5.539 0.000 0.000 0.000 4.181" Properties=species:S:1:pos:R:3 pbc="T T T"
K 0.000 0.000 0.000
Be 0.000 2.769 0.000
Be 2.769 0.000 0.000
Tl 2.769 2.769 2.091
H 0.000 0.000 2.091
```

Results
The calculated volume comes out at 25.7 Å³/atom. The symmetry is P4/mmm. The total moment comes out at 0.00 μB/cell. Its uncorrected energy is -17.002 eV/atom. As for the density of states at the Fermi level: 2.56 states/eV/f.u.


# 5
A plane-wave DFT calculation with SCAN was carried out for La3BeH at its PBEsol-relaxed geometry.

Structure (extended XYZ):
```
5
Lattice="4.874 0.000 0.000 0.000 4.874 0.000 0.000 0.000 4.874" Properties=species:S:1:pos:R:3 pbc="T T T"
La 0.000 0.000 2.437
La 0.000 2.437 0.000
La 2.437 0.000 0.000
Be 2.437 2.437 2.437
H 0.000 0.000 0.000
```

Results
The calculated volume comes out at 23.2 Å³/atom. The symmetry is Pm-3m. The total moment comes out at 0.00 μB/cell. Its uncorrected energy is -27.358 eV/atom. As for the density of states at the Fermi level: 6.14 states/eV/f.u.


# 6
A plane-wave DFT calculation with SCAN was carried out for La2BeH at its PBEsol-relaxed geometry.

Structure (extended XYZ):
```
16
Lattice="5.120 0.000 0.000 0.000 5.120 0.000 0.000 0.000 14.179" Properties=species:S:1:pos:R:3 pbc="T T T"
La 0.950 1.280 1.772
La 1.280 3.510 5.317
La 1.280 4.170 12.407
La 1.610 1.280 8.862
La 3.510 3.840 8.862
La 3.840 0.950 12.407
La 3.840 1.610 5.317
La 4.170 3.840 1.772
Be 0.000 0.000 7.089
Be 0.000 2.560 10.634
Be 2.560 0.000 3.545
Be 2.560 2.560 0.000
H 0.000 0.000 0.000
H 0.000 2.560 3.545
H 2.560 0.000 10.634
H 2.560 2.560 7.089
```

Results
The calculated volume comes out at 23.2 Å³/atom. The symmetry is I-42d. The total moment comes out at 0.00 μB/cell. Its uncorrected energy is -23.313 eV/atom. As for the density of states at the Fermi level: 3.27 states/eV/f.u.


# 7
A plane-wave DFT calculation with SCAN was carried out for LaBeH2 at its PBEsol-relaxed geometry.

Structure (extended XYZ):
```
16
Lattice="4.262 0.000 0.000 0.000 4.262 0.000 0.000 0.000 9.947" Properties=species:S:1:pos:R:3 pbc="T T T"
La 0.000 1.066 3.730
La 0.000 3.197 6.217
La 2.131 1.066 1.243
La 2.131 3.197 8.704
Be 0.000 1.066 8.704
Be 0.000 3.197 1.243
Be 2.131 1.066 6.217
Be 2.131 3.197 3.730
H 0.000 0.000 0.000
H 0.000 2.131 0.000
H 1.066 1.066 7.460
H 1.066 3.197 2.487
H 2.131 0.000 4.973
H 2.131 2.131 4.973
H 3.197 1.066 7.460
H 3.197 3.197 2.487
```

Results
The calculated volume comes out at 11.3 Å³/atom. The symmetry is I4_1/amd. The total moment comes out at 0.00 μB/cell. Its uncorrected energy is -13.624 eV/atom. As for the density of states at the Fermi level: 1.76 states/eV/f.u.


# 8
A plane-wave DFT calculation with SCAN was carried out for La2BeHPd at its PBEsol-relaxed geometry.

Structure (extended XYZ):
```
5
Lattice="5.514 0.000 0.000 0.000 5.514 0.000 0.000 0.000 4.269" Properties=species:S:1:pos:R:3 pbc="T T T"
La 0.000 2.757 0.000
La 2.757 0.000 0.000
Be 0.000 0.000 2.134
H 2.757 2.757 2.134
Pd 0.000 0.000 0.000
```

Results
The calculated volume comes out at 26.0 Å³/atom. The symmetry is P4/mmm. The total moment comes out at 0.00 μB/cell. Its uncorrected energy is -25.288 eV/atom. As for the density of states at the Fermi level: 4.04 states/eV/f.u.


# 9
A plane-wave DFT calculation with SCAN was carried out for LaBeHSe2 at its PBEsol-relaxed geometry.

Structure (extended XYZ):
```
5
Lattice="5.659 0.000 0.000 0.000 5.659 0.000 0.000 0.000 4.184" Properties=species:S:1:pos:R:3 pbc="T T T"
La 0.000 0.000 0.000
Be 2.829 2.829 2.092
H 0.000 0.000 2.092
Se 0.000 2.829 0.000
Se 2.829 0.000 0.000
```

Results
The calculated volume comes out at 26.8 Å³/atom. The symmetry is P4/mmm. The total moment comes out at 0.20 μB/cell. Its uncorrected energy is -18.157 eV/atom. As for the density of states at the Fermi level: 2.77 states/eV/f.u.


# 10
A plane-wave DFT calculation with SCAN was carried out for LiBeH3 at its PBEsol-relaxed geometry.

Structure (extended XYZ):
```
10
Lattice="4.594 -1.913 0.000 4.594 1.913 0.000 -0.913 0.000 4.992" Properties=species:S:1:pos:R:3 pbc="T T T"
Li 0.806 0.000 1.825
Li 7.469 0.000 3.167
Be 1.275 0.207 4.254
Be 6.999 0.207 0.738
H 0.050 -0.055 3.617
H 2.353 -0.030 3.339
H 2.364 -0.250 0.614
H 5.922 -0.030 1.653
H 5.910 -0.250 4.377
H 8.224 -0.055 1.375
```

Results
The calculated volume comes out at 8.8 Å³/atom. The symmetry is C2. The total moment comes out at 0.00 μB/cell. The calculation puts the energy relative to the lowest polymorph listed for this composition at 12 meV/atom. Its uncorrected energy is -3.706 eV/atom. As for the density of states at the Fermi level: 0.00 states/eV/f.u.


Question: Which value of uncorrected energy does entry 2 give?
Answer: -4.675 eV/atom


Question: What is the formula in the sixth record?
Answer: La2BeH


Question: Number 3 is which compound?
Answer: KBe2H


Question: Number 3 is which compound?
Answer: KBe2H